1.
DFT (PBE) results for Ac2DyYSe6 after structural relaxation.

## Properties
volume = 32.3 Å³/atom
theoretical density = 6.07 g cm⁻³
symmetry = R3 (146)
VASP energy = -5.946 eV per atom
uncorrected formation energy = -19.269 eV per formula unit
crystal system = trigonal

POSCAR file:
```
Ac2DyYSe6
1.0
3.787 2.186 6.493
-3.787 2.186 6.493
0.000 -4.373 6.493
Ac Dy Y Se
2 1 1 6
Direct
0.000 0.000 0.000
0.500 0.500 0.500
0.210 0.210 0.210
0.710 0.710 0.710
0.072 0.431 0.845
0.344 0.931 0.571
0.431 0.845 0.072
0.571 0.344 0.931
0.845 0.072 0.431
0.931 0.571 0.344
```

2.
DFT (PBE) results for Ac3Dy2YSe6 after structural relaxation.

## Properties
volume = 27.6 Å³/atom
theoretical density = 7.88 g cm⁻³
symmetry = C2/m (12)
VASP energy = -5.881 eV per atom
uncorrected formation energy = -21.674 eV per formula unit
crystal system = monoclinic

POSCAR file:
```
Ac3Dy2YSe6
1.0
3.607 -6.264 0.000
3.607 6.264 0.000
-2.416 0.000 7.318
Ac Dy Y Se
3 2 1 6
Direct
0.000 0.000 0.000
0.334 0.666 0.000
0.666 0.334 0.000
0.167 0.833 0.500
0.833 0.167 0.500
0.500 0.500 0.500
0.093 0.427 0.280
0.239 0.239 0.719
0.427 0.093 0.280
0.573 0.907 0.720
0.761 0.761 0.281
0.907 0.573 0.720
```

3.
DFT (PBE) results for Ac2DyYSe4 after structural relaxation.

## Properties
volume = 27.6 Å³/atom
theoretical density = 7.69 g cm⁻³
symmetry = P2/m (10)
VASP energy = -5.959 eV per atom
uncorrected formation energy = -14.455 eV per formula unit
crystal system = monoclinic

POSCAR file:
```
Ac2DyYSe4
1.0
7.217 0.000 0.000
0.000 4.147 0.000
-2.391 0.000 7.370
Ac Dy Y Se
2 1 1 4
Direct
0.000 0.000 0.000
0.500 0.500 0.000
0.000 0.500 0.500
0.500 0.000 0.500
0.239 0.000 0.719
0.260 0.500 0.280
0.740 0.500 0.720
0.761 0.000 0.281
```

4.
DFT (PBE) results for Ac3DyY3Se8 after structural relaxation.

## Properties
volume = 28.9 Å³/atom
theoretical density = 6.66 g cm⁻³
symmetry = R-3m (166)
VASP energy = -6.143 eV per atom
uncorrected formation energy = -27.948 eV per formula unit
crystal system = trigonal

POSCAR file:
```
Ac3DyY3Se8
1.0
4.188 2.418 7.145
-4.188 2.418 7.145
0.000 -4.836 7.145
Ac Dy Y Se
3 1 3 8
Direct
0.000 0.500 0.500
0.500 0.000 0.500
0.500 0.500 0.000
0.500 0.500 0.500
0.000 0.000 0.500
0.000 0.500 0.000
0.500 0.000 0.000
0.238 0.744 0.744
0.241 0.241 0.241
0.256 0.256 0.762
0.256 0.762 0.256
0.744 0.238 0.744
0.744 0.744 0.238
0.759 0.759 0.759
0.762 0.256 0.256
```

5.
DFT (PBE) results for Ac4Dy3YSe8 after structural relaxation.

## Properties
volume = 27.6 Å³/atom
theoretical density = 7.97 g cm⁻³
symmetry = R-3m (166)
VASP energy = -5.838 eV per atom
uncorrected formation energy = -28.823 eV per formula unit
crystal system = trigonal

POSCAR file:
```
Ac4Dy3YSe8
1.0
4.158 2.401 7.365
-4.158 2.401 7.365
0.000 -4.801 7.365
Ac Dy Y Se
4 3 1 8
Direct
0.000 0.000 0.000
0.000 0.500 0.500
0.500 0.000 0.500
0.500 0.500 0.000
0.000 0.000 0.500
0.000 0.500 0.000
0.500 0.000 0.000
0.500 0.500 0.500
0.239 0.239 0.239
0.239 0.740 0.740
0.260 0.260 0.761
0.260 0.761 0.260
0.740 0.239 0.740
0.740 0.740 0.239
0.761 0.260 0.260
0.761 0.761 0.761
```

6.
DFT (PBE) results for Ac3DySi6 after structural relaxation.

## Properties
volume = 25.0 Å³/atom
theoretical density = 6.72 g cm⁻³
symmetry = R-3c (167)
VASP energy = -5.422 eV per atom
uncorrected formation energy = -4.754 eV per formula unit
crystal system = trigonal

POSCAR file:
```
Ac3DySi6
1.0
6.078 3.509 3.910
-6.078 3.509 3.910
0.000 -7.018 3.910
Ac Dy Si
6 2 12
Direct
0.188 0.750 0.312
0.250 0.688 0.812
0.312 0.188 0.750
0.688 0.812 0.250
0.750 0.312 0.188
0.812 0.250 0.688
0.000 0.000 0.000
0.500 0.500 0.500
0.019 0.093 0.390
0.093 0.390 0.019
0.110 0.407 0.481
0.390 0.019 0.093
0.407 0.481 0.110
0.481 0.110 0.407
0.519 0.890 0.593
0.593 0.519 0.890
0.610 0.981 0.907
0.890 0.593 0.519
0.907 0.610 0.981
0.981 0.907 0.610
```

Copy entry 3 word for word.
DFT (PBE) results for Ac2DyYSe4 after structural relaxation.

## Properties
volume = 27.6 Å³/atom
theoretical density = 7.69 g cm⁻³
symmetry = P2/m (10)
VASP energy = -5.959 eV per atom
uncorrected formation energy = -14.455 eV per formula unit
crystal system = monoclinic

POSCAR file:
```
Ac2DyYSe4
1.0
7.217 0.000 0.000
0.000 4.147 0.000
-2.391 0.000 7.370
Ac Dy Y Se
2 1 1 4
Direct
0.000 0.000 0.000
0.500 0.500 0.000
0.000 0.500 0.500
0.500 0.000 0.500
0.239 0.000 0.719
0.260 0.500 0.280
0.740 0.500 0.720
0.761 0.000 0.281
```

Among the records above, which one has the lowest uncorrected formation energy?
Ac4Dy3YSe8

The highest volume belongs to which entry?
Ac2DyYSe6